## ThPO (PBE)

Data for ThPO after structural relaxation.

Cell lengths 3.1776, 3.6456, 5.2476 Å; angles 90.00, 90.00, 90.00 degrees
With the nearest neighbours (Å) after each atom.
Positions (direct):
P  0.0000  0.0000  0.0000  4 Th 3.07, 2 P 3.18, 4 O 3.19
Th  0.5000  0.0000  0.5000  4 O 2.42
O  0.0000  0.5000  0.5000  4 Th 2.42

Computed properties:
DOS at the Fermi energy ... 1.2 states/eV per cell
E_form (uncorrected) ... -1.707 eV/atom
Total magnetic moment ... 0.0 μB/f.u.

***

## TaVOsRh (PBE)

Data for TaVOsRh after structural relaxation.

Cell lengths 4.4221, 4.4221, 4.4221 Å; angles 60.00, 60.00, 60.00 degrees
With the nearest neighbours (Å) after each atom.
Positions (direct):
Ta  0.7500  0.7500  0.7500  4 Rh 2.71, 4 Os 2.71
Rh  0.0000  0.0000  0.0000  4 Ta 2.71, 4 V 2.71
Os  0.5000  0.5000  0.5000  4 Ta 2.71, 4 V 2.71
V  0.2500  0.2500  0.2500  4 Os 2.71, 4 Rh 2.71

Computed properties:
DOS at the Fermi energy ... 4.7 states/eV per cell
E_form ... -0.927 eV per formula unit
Total magnetic moment ... 2.1 μB/f.u.

***

## RbMg2InI8 (PBE)

Data for RbMg2InI8 after structural relaxation.

Cell lengths 7.4857, 7.1267, 9.1575 Å; angles 89.86, 89.86, 87.27 degrees
With the nearest neighbours (Å) after each atom.
Positions (direct):
Mg  0.5010  0.4998  0.7528  6 I 2.96-3.08
Mg  0.4990  0.5002  0.2472  6 I 2.96-3.08
In  0.0000  0.0000  0.0000  4 I 2.94
I  0.8402  0.2613  0.2167  1 In 2.94, 1 Mg 3.01
I  0.1598  0.7387  0.7833  1 In 2.94, 1 Mg 3.01
I  0.1580  0.7369  0.2172  1 In 2.94, 1 Mg 3.00
I  0.8420  0.2631  0.7828  1 In 2.94, 1 Mg 3.00
I  0.3630  0.2913  0.5005  2 Mg 2.96-2.97
I  0.6370  0.7087  0.4995  2 Mg 2.96-2.97
I  0.6476  0.7406  0.9999  2 Mg 3.07-3.08, 1 In 3.29
I  0.3524  0.2594  0.0001  2 Mg 3.07-3.08, 1 In 3.29
Rb  0.0000  0.0000  0.5000  6 I 3.38-3.50

Computed properties:
E_form (uncorrected) ... -0.793 eV/atom
Total magnetic moment ... 0.0 μB/f.u.

***

Copy entry 2 word for word.
## TaVOsRh (PBE)

Data for TaVOsRh after structural relaxation.

Cell lengths 4.4221, 4.4221, 4.4221 Å; angles 60.00, 60.00, 60.00 degrees
With the nearest neighbours (Å) after each atom.
Positions (direct):
Ta  0.7500  0.7500  0.7500  4 Rh 2.71, 4 Os 2.71
Rh  0.0000  0.0000  0.0000  4 Ta 2.71, 4 V 2.71
Os  0.5000  0.5000  0.5000  4 Ta 2.71, 4 V 2.71
V  0.2500  0.2500  0.2500  4 Os 2.71, 4 Rh 2.71

Computed properties:
DOS at the Fermi energy ... 4.7 states/eV per cell
E_form ... -0.927 eV per formula unit
Total magnetic moment ... 2.1 μB/f.u.

***

Question: What is the total magnetic moment in the second record?
Answer: 2.1 μB/f.u.